Li2Zn5Ag4 | PBE | optimized geometry

Geometry as POSCAR:
```
Li2Zn5Ag4
1.0
9.371 -1.414 0.000
9.371 1.414 0.000
-0.680 0.000 6.798
Li Zn Ag
2 5 4
Cartesian
1.451 0.000 1.261
16.612 0.000 5.537
-0.340 0.000 3.399
5.859 0.000 0.236
6.595 0.000 3.038
11.467 0.000 3.761
12.204 0.000 6.562
3.928 0.000 2.177
8.424 0.000 1.078
9.639 0.000 5.721
14.134 0.000 4.622
```

Energy   -2.03 eV/atom
Magnetization   0.00 μB/f.u.
Calculated formation energy   -71 kJ/mol of formula units
Excess energy over the best structure of this formula in the dataset   0.015 eV per atom
Volume   180.2 Å³ per cell

---

Tb2Ho5Th5 | PBE | optimized geometry

Geometry as POSCAR:
```
Tb2Ho5Th5
1.0
7.526 -2.514 0.000
7.526 2.514 0.000
-5.019 0.000 10.089
Tb Ho Th
2 5 5
Cartesian
-0.002 0.000 2.524
10.034 0.000 7.565
2.510 0.000 5.002
4.989 0.000 2.541
7.526 0.000 0.000
5.043 0.000 7.548
7.523 0.000 5.087
-2.509 0.000 5.045
2.536 0.000 0.023
-0.023 0.000 7.595
10.056 0.000 2.494
7.497 0.000 10.066
```

Energy   -5.73 eV/atom
Magnetization   0.00 μB/f.u.
Calculated formation energy   52 kJ/mol of formula units
Volume   381.7 Å³ per cell

---

LiPmInRh | PBE | optimized geometry

Geometry as POSCAR:
```
LiPmInRh
1.0
0.000 3.417 3.417
3.417 0.000 3.417
3.417 3.417 0.000
Li Pm In Rh
1 1 1 1
Cartesian
0.000 0.000 0.000
1.708 1.708 1.708
5.125 5.125 5.125
3.417 3.417 3.417
```

Energy   -4.68 eV/atom
Magnetization   0.00 μB/f.u.
Calculated formation energy   -190 kJ/mol of formula units
Volume   79.8 Å³ per cell

---

NdHo2Rh | PBE | optimized geometry

Geometry as POSCAR:
```
NdHo2Rh
1.0
1.940 1.120 9.076
-1.940 1.120 9.076
0.000 -2.240 9.076
Nd Ho Rh
1 2 1
Cartesian
0.000 0.000 0.000
0.000 0.000 15.126
0.000 0.000 21.068
0.000 0.000 4.481
```

Energy   -5.69 eV/atom
Magnetization   0.00 μB/f.u.
Calculated formation energy   -142 kJ/mol of formula units
Excess energy over the best structure of this formula in the dataset   0.135 eV per atom
Volume   118.4 Å³ per cell

---

NpAlCrOs | PBE | optimized geometry

Geometry as POSCAR:
```
NpAlCrOs
1.0
0.000 3.180 3.180
3.180 0.000 3.180
3.180 3.180 0.000
Np Al Cr Os
1 1 1 1
Cartesian
0.000 0.000 0.000
3.180 3.180 3.180
4.770 4.770 4.770
1.590 1.590 1.590
```

Energy   -9.32 eV/atom
Magnetization   4.00 μB/f.u.
Calculated formation energy   23 kJ/mol of formula units
Volume   64.3 Å³ per cell

---

SiTc2Pb | PBE | optimized geometry

Geometry as POSCAR:
```
SiTc2Pb
1.0
3.073 0.000 0.000
0.000 3.767 0.000
-1.102 0.000 5.810
Si Tc Pb
1 2 1
Cartesian
0.000 0.000 0.000
0.864 1.883 1.195
1.107 1.883 4.615
-0.551 0.000 2.905
```

Energy   -7.22 eV/atom
Magnetization   0.00 μB/f.u.
Excess energy over the best structure of this formula in the dataset   0.076 eV per atom
Volume   67.3 Å³ per cell
E_form (uncorrected)   0.249 eV/atom

---

Sc4Te3N | PBE | optimized geometry

Geometry as POSCAR:
```
Sc4Te3N
1.0
9.474 0.000 0.000
0.000 7.631 0.000
0.000 0.000 5.669
Sc Te N
8 6 2
Cartesian
0.000 0.993 0.000
0.000 6.629 3.083
1.907 5.872 5.601
2.830 1.759 2.767
4.737 1.001 0.249
4.737 6.638 2.834
6.644 1.759 2.767
7.567 5.872 5.601
0.000 1.833 2.828
2.272 4.942 2.770
2.465 2.689 5.604
4.737 5.798 5.663
7.009 2.689 5.604
7.202 4.942 2.770
0.000 6.573 5.234
4.737 1.057 2.399
```

Energy   -6.49 eV/atom
Magnetization   0.00 μB/f.u.
Volume   409.8 Å³ per cell
E_form (uncorrected)   -1.101 eV/atom

---

La7Sm12Tm | PBE | optimized geometry

Geometry as POSCAR:
```
La7Sm12Tm
1.0
6.812 3.933 4.338
-6.812 3.933 4.338
0.000 -7.866 4.338
La Sm Tm
7 12 1
Cartesian
0.000 0.000 0.000
-1.843 -1.064 3.513
1.843 -1.064 3.513
0.000 2.128 3.513
0.000 -2.128 9.499
-1.843 1.064 9.499
1.843 1.064 9.499
0.000 -4.436 3.683
-3.841 2.218 3.683
-1.764 -3.055 6.506
-3.528 0.000 6.506
-3.841 -2.218 9.330
1.764 -3.055 6.506
-1.764 3.055 6.506
3.841 2.218 3.683
3.528 0.000 6.506
1.764 3.055 6.506
3.841 -2.218 9.330
0.000 4.436 9.330
0.000 0.000 6.506
```

Energy   -4.70 eV/atom
Magnetization   0.00 μB/f.u.
Calculated formation energy   149 kJ/mol of formula units
Excess energy over the best structure of this formula in the dataset   0.000 eV per atom
Volume   697.3 Å³ per cell